TaTlP2S8 after structural relaxation, computed with GGA-PBE.

Cell: 6.0135 6.0135 28.3040 Å, 90.00 90.00 120.00°
Space group R-3 (No. 148, hexagonal axes)
One atom of each set of equivalent atoms:
Ta: 0.0000 0.0000 0.0000
Tl: 0.0000 0.0000 0.5000
P: 0.0000 0.0000 0.2611
S: 0.0000 0.0000 0.1914
S: 0.0003 0.3361 0.0489

Properties
E_tot: -186.758 eV per cell
total magnetic moment: 0.00 μB/atom



GdSi2Au2 after structural relaxation, computed with GGA-PBE.

Cell: 4.293 4.293 10.258 Å, 90.00 90.00 90.00°
Space group I4/mmm (No. 139)
One atom of each set of equivalent atoms:
Gd: 0.000 0.000 0.000
Si: 0.000 0.000 0.388
Au: 0.000 0.500 0.250

Properties
E_tot: -68.758 eV per cell
D(E_F): 3.31 states/eV per cell
total magnetic moment: 1.39 μB/atom



KAl2Cl after structural relaxation, computed with GGA-PBE.

Cell: 4.051 4.051 7.988 Å, 90.00 90.00 90.00°
Space group P4/mmm (No. 123)
One atom of each set of equivalent atoms:
K: 0.000 0.000 0.000
Al: 0.000 0.500 0.500
Cl: 0.500 0.500 0.000

Properties
E_tot: -11.691 eV per cell
D(E_F): 2.89 states/eV per cell
total magnetic moment: 0.00 μB/atom



RbAc2HgO5 after structural relaxation, computed with GGA-PBE.

Cell: 7.285 7.285 12.864 Å, 90.00 90.00 90.00°
Space group I4/mcm (No. 140)
One atom of each set of equivalent atoms:
Rb: 0.000 0.000 0.250
Ac: 0.175 0.325 0.000
Hg: 0.000 0.500 0.250
O: 0.000 0.000 0.000
O: 0.138 0.362 0.384

Properties
E_tot: -211.272 eV per cell
D(E_F): 27.12 states/eV per cell
total magnetic moment: 0.11 μB/atom